# 1
Hf5GaSn PBE optimized geometry; theoretical density = 10900 kg/m³; DOS at the Fermi energy = 15.16 states/eV per cell; calculated formation energy = 0.074 eV per atom
1.0
-2.768 4.011 3.512
-5.858 -0.717 -1.119
-5.390 -4.569 8.262
Hf Ga Sn
10 2 2
Cartesian
-7.923 0.574 3.203
-6.320 -1.656 4.393
-9.815 -0.481 8.539
-6.965 -1.491 1.308
-5.815 1.421 0.913
-8.202 -2.697 9.742
-7.052 0.215 9.348
-4.202 -0.794 2.117
-7.697 0.380 6.263
-6.094 -1.849 7.452
0.000 0.000 0.000
-2.695 -2.285 4.131
-5.135 1.309 4.050
-8.882 -2.585 6.605

***

# 2
Hf6GaSn2 PBE optimized geometry; theoretical density = 11798 kg/m³; DOS at the Fermi energy = 6.96 states/eV per cell; calculated formation energy = -0.382 eV per atom
1.0
-0.513 2.636 2.702
-6.708 -3.214 1.861
6.444 -2.297 3.464
Hf Ga Sn
6 1 2
Cartesian
-4.314 -0.626 2.477
-0.361 -0.859 3.455
3.641 -0.072 3.447
-1.657 -0.794 0.460
-0.199 -4.150 4.010
-5.116 -3.781 2.716
-6.965 -1.896 3.212
2.060 -2.602 2.930
-2.324 -2.908 2.395

***

# 3
HfGaSn2 PBE optimized geometry; theoretical density = 8556 kg/m³; DOS at the Fermi energy = 5.66 states/eV per cell; calculated formation energy = 0.116 eV per atom
1.0
7.990 0.000 0.000
0.000 7.990 0.000
3.995 3.995 2.953
Hf Sn Ga
2 4 2
Cartesian
0.000 0.000 0.000
7.990 3.995 1.476
5.871 1.998 0.738
2.119 5.993 0.738
5.993 6.114 2.214
9.988 9.867 2.214
3.995 3.995 0.000
3.995 7.990 1.476

***

# 4
Hf4GaSn2 PBE optimized geometry; energy above the lowest structure with this stoichiometry = 0.000 eV per atom; theoretical density = 10865 kg/m³; DOS at the Fermi energy = 4.95 states/eV per cell; calculated formation energy = -0.149 eV per atom
1.0
3.223 0.000 0.000
0.000 7.397 -0.039
-1.612 -3.711 6.565
Hf Ga Sn
4 1 2
Cartesian
1.612 -1.064 5.550
0.000 4.751 0.976
1.612 1.877 1.560
0.000 1.809 4.966
0.000 0.000 0.000
1.612 4.026 3.546
0.000 -0.340 2.980

***

# 5
Hf4GaSn PBE optimized geometry; theoretical density = 11826 kg/m³; DOS at the Fermi energy = 8.85 states/eV per cell; calculated formation energy = -0.347 eV per atom
1.0
5.482 0.000 0.000
0.000 6.799 0.000
0.000 0.000 6.799
Hf Ga Sn
8 2 2
Cartesian
0.000 1.098 4.368
0.000 5.701 2.431
0.000 2.431 1.098
0.000 4.368 5.701
2.741 5.701 4.368
2.741 1.098 2.431
2.741 4.368 1.098
2.741 2.431 5.701
1.370 3.400 3.400
4.111 3.400 3.400
1.370 0.000 0.000
4.111 0.000 0.000

***

# 6
Hf12GaSn6 PBE optimized geometry; theoretical density = 11602 kg/m³; DOS at the Fermi energy = 17.46 states/eV per cell; calculated formation energy = -0.160 eV per atom
1.0
-5.620 4.878 0.768
-3.827 -5.215 3.759
3.166 2.437 6.325
Hf Ga Sn
12 1 6
Cartesian
-5.133 2.267 5.330
-3.875 -0.799 6.651
-2.049 2.229 7.122
-1.148 -0.166 5.522
-2.406 2.899 4.200
-4.232 -0.129 3.729
0.348 0.404 2.910
-4.227 3.215 9.039
-4.462 0.211 9.484
-6.629 1.697 7.942
-2.054 -1.115 1.813
-1.819 1.890 1.368
0.000 0.000 0.000
-6.569 -0.392 5.562
-4.776 2.416 2.374
-2.605 -2.537 4.590
0.288 2.493 5.290
-1.505 -0.315 8.478
-3.676 4.637 6.262